The following is a PBE calculation of an optimized crystal structure of PaTcPS, from Alexandria via LeMat-Bulk.

Calculated values
Calculated density   8.90 g/cm³
DOS at the Fermi energy   0.90 states/eV per atom
Uncorrected energy   -67.5 eV/cell
ΔE_f (raw)   -4.35 eV per formula unit

Cell lengths 4.2456, 4.2456, 8.1168 Å; angles 90.00, 90.00, 90.00 degrees
Closest atoms and distances in Å follow each position.
Fractional positions:
Pa  0.5000  0.0000  0.7160  4 S 2.75
Pa  0.0000  0.5000  0.2840  4 S 2.75
Tc  0.5000  0.5000  0.0000  4 P 2.41
Tc  0.0000  0.0000  0.0000  4 P 2.41
P  0.0000  0.5000  0.8603  4 Tc 2.41
P  0.5000  0.0000  0.1397  4 Tc 2.41
S  0.0000  0.0000  0.5000  4 Pa 2.75, 4 S 3.00
S  0.5000  0.5000  0.5000  4 Pa 2.75, 4 S 3.00



The following is a PBE calculation of an optimized crystal structure of Np6Pt23, from Alexandria via LeMat-Bulk.

Calculated values
Calculated density   18.27 g/cm³
DOS at the Fermi energy   2.57 states/eV per atom
DFT formation energy   -0.4251 eV/atom
Uncorrected energy   -228.9 eV/cell

Cell lengths 9.1871, 9.1870, 9.0038 Å; angles 60.66, 60.66, 58.68 degrees
Closest atoms and distances in Å follow each position.
Fractional positions:
Np  0.2255  0.7745  0.7745  12 Pt 3.01-3.33
Np  0.7745  0.2255  0.2255  12 Pt 3.01-3.33
Np  0.2127  0.2127  0.7873  12 Pt 3.02-3.22
Np  0.7873  0.7873  0.2127  12 Pt 3.02-3.22
Np  0.2255  0.7745  0.2255  12 Pt 3.01-3.33
Np  0.7745  0.2255  0.7745  12 Pt 3.01-3.33
Pt  0.5000  0.5000  0.5000  8 Pt 2.72
Pt  0.5000  0.0000  0.0000  8 Pt 2.64-2.78
Pt  0.0000  0.5000  0.5000  8 Pt 2.64-2.78
Pt  0.5000  0.5000  0.0000  8 Pt 2.63-2.90
Pt  0.0000  0.0000  0.5000  8 Pt 2.63-2.90
Pt  0.5000  0.0000  0.5000  8 Pt 2.64-2.78
Pt  0.0000  0.5000  0.0000  8 Pt 2.64-2.78
Pt  0.1351  0.6111  0.6269  9 Pt 2.72-3.03, 3 Np 3.01-3.02
Pt  0.6269  0.6269  0.1351  9 Pt 2.72-3.03, 3 Np 3.01-3.02
Pt  0.6111  0.1351  0.6269  9 Pt 2.72-3.03, 3 Np 3.01-3.02
Pt  0.6269  0.6269  0.6111  9 Pt 2.72-3.03, 3 Np 3.01-3.02
Pt  0.3731  0.3731  0.8649  9 Pt 2.72-3.03, 3 Np 3.01-3.02
Pt  0.8649  0.3889  0.3731  9 Pt 2.72-3.03, 3 Np 3.01-3.02
Pt  0.3889  0.8649  0.3731  9 Pt 2.72-3.03, 3 Np 3.01-3.02
Pt  0.3731  0.3731  0.3889  9 Pt 2.72-3.03, 3 Np 3.01-3.02
Pt  0.4918  0.8319  0.8382  6 Pt 2.63-2.92
Pt  0.8382  0.8382  0.4918  6 Pt 2.63-2.92
Pt  0.8319  0.4918  0.8382  6 Pt 2.63-2.92
Pt  0.8382  0.8382  0.8319  6 Pt 2.63-2.92
Pt  0.1618  0.1618  0.5082  6 Pt 2.63-2.92
Pt  0.5082  0.1681  0.1618  6 Pt 2.63-2.92
Pt  0.1681  0.5082  0.1618  6 Pt 2.63-2.92
Pt  0.1618  0.1618  0.1681  6 Pt 2.63-2.92



The following is a PBE calculation of an optimized crystal structure of BaHf2Ni2, from Alexandria via LeMat-Bulk.

Calculated values
Calculated density   8.76 g/cm³
DOS at the Fermi energy   1.11 states/eV per atom
DFT formation energy   -0.0371 eV/atom
Uncorrected energy   -33.6 eV/cell

Cell lengths 4.5053, 4.5053, 6.5418 Å; angles 69.86, 69.86, 90.00 degrees
Closest atoms and distances in Å follow each position.
Fractional positions:
Ni  0.3646  0.3646  0.2708  4 Hf 2.61
Ni  0.6354  0.6354  0.7292  4 Hf 2.61
Hf  0.7500  0.2500  0.5000  4 Ni 2.61
Hf  0.2500  0.7500  0.5000  4 Ni 2.61
Ba  0.0000  0.0000  0.0000  8 Ni 3.54, 8 Hf 3.64



The following is a PBE calculation of an optimized crystal structure of Ho4TlPb2, from Alexandria via LeMat-Bulk.

Calculated values
Calculated density   10.26 g/cm³
DOS at the Fermi energy   0.87 states/eV per atom
DFT formation energy   -0.2838 eV/atom
Uncorrected energy   -60.2 eV/cell

Cell lengths 6.1206, 6.6877, 10.4209 Å; angles 90.00, 104.04, 90.00 degrees
Closest atoms and distances in Å follow each position.
Fractional positions:
Ho  0.5234  0.5033  0.2649  4 Pb 3.18-3.29, 1 Tl 3.21, 3 Ho 3.30-3.54
Ho  0.0261  0.7500  0.8398  3 Tl 3.27-3.39, 3 Pb 3.29-3.54, 2 Ho 3.62
Ho  0.9739  0.2500  0.1602  3 Tl 3.27-3.39, 3 Pb 3.29-3.54, 2 Ho 3.62
Ho  0.5234  0.9967  0.2649  4 Pb 3.18-3.29, 1 Tl 3.21, 3 Ho 3.30-3.54
Ho  0.8599  0.2500  0.5410  2 Pb 3.04-3.29, 1 Tl 3.05
Ho  0.4766  0.0033  0.7351  4 Pb 3.18-3.29, 1 Tl 3.21, 3 Ho 3.30-3.54
Ho  0.4766  0.4967  0.7351  4 Pb 3.18-3.29, 1 Tl 3.21, 3 Ho 3.30-3.54
Ho  0.1401  0.7500  0.4590  2 Pb 3.04-3.29, 1 Tl 3.05
Tl  0.0654  0.7500  0.1587  1 Pb 3.02, 4 Ho 3.05-3.27
Tl  0.9346  0.2500  0.8413  1 Pb 3.02, 4 Ho 3.05-3.27
Pb  0.5808  0.7500  0.0019  1 Tl 3.02, 4 Ho 3.18-3.29
Pb  0.4192  0.2500  0.9981  1 Tl 3.02, 4 Ho 3.18-3.29
Pb  0.3055  0.2500  0.4606  7 Ho 3.04-3.29
Pb  0.6945  0.7500  0.5394  7 Ho 3.04-3.29



The following is a PBE calculation of an optimized crystal structure of ScCu2Ni, from Alexandria via LeMat-Bulk.

Calculated values
Calculated density   6.79 g/cm³
DOS at the Fermi energy   0.80 states/eV per atom
DFT formation energy   0.2023 eV/atom
Uncorrected energy   -19.5 eV/cell

Cell lengths 8.7128, 8.7128, 8.7128 Å; angles 18.21, 18.21, 18.21 degrees
Closest atoms and distances in Å follow each position.
Fractional positions:
Cu  0.9929  0.9929  0.9929  3 Ni 2.52, 6 Cu 2.76, 3 Sc 2.82
Cu  0.5071  0.5071  0.5071  3 Ni 2.52, 6 Cu 2.76, 3 Sc 2.82
Ni  0.2500  0.2500  0.2500  6 Cu 2.52, 6 Ni 2.76
Sc  0.7500  0.7500  0.7500  6 Sc 2.76, 6 Cu 2.82



The following is a PBE calculation of an optimized crystal structure of PrDy3ErTh, from Alexandria via LeMat-Bulk.

Calculated values
Calculated density   8.80 g/cm³
DOS at the Fermi energy   1.50 states/eV per atom
DFT formation energy   0.0284 eV/atom
Uncorrected energy   -60.8 eV/cell

Cell lengths 5.0661, 7.9847, 10.6803 Å; angles 116.19, 90.00, 90.00 degrees
Closest atoms and distances in Å follow each position.
Fractional positions:
Pr  0.2500  0.1241  0.2925  3 Er 3.57, 8 Dy 3.59-3.64, 1 Th 3.62
Pr  0.7500  0.8759  0.7075  3 Er 3.57, 8 Dy 3.59-3.64, 1 Th 3.62
Dy  0.7500  0.8675  0.0428  3 Th 3.49-3.54, 1 Er 3.50, 5 Dy 3.58-3.70, 3 Pr 3.59-3.61
Dy  0.2500  0.1325  0.9572  3 Th 3.49-3.54, 1 Er 3.50, 5 Dy 3.58-3.70, 3 Pr 3.59-3.61
Dy  0.2500  0.6262  0.4559  3 Er 3.55-3.60, 1 Th 3.55, 5 Dy 3.56-3.64, 3 Pr 3.59-3.60
Dy  0.7500  0.3738  0.5441  3 Er 3.55-3.60, 1 Th 3.55, 5 Dy 3.56-3.64, 3 Pr 3.59-3.60
Dy  0.7500  0.3835  0.2067  1 Er 3.49, 3 Th 3.49-3.51, 6 Dy 3.56-3.70, 2 Pr 3.64
Dy  0.2500  0.6165  0.7933  1 Er 3.49, 3 Th 3.49-3.51, 6 Dy 3.56-3.70, 2 Pr 3.64
Er  0.2500  0.1291  0.6281  5 Dy 3.49-3.60, 3 Pr 3.57, 2 Th 3.59, 2 Er 3.63
Er  0.7500  0.8709  0.3719  5 Dy 3.49-3.60, 3 Pr 3.57, 2 Th 3.59, 2 Er 3.63
Th  0.2500  0.6195  0.1214  7 Dy 3.49-3.55, 2 Th 3.52, 2 Er 3.59, 1 Pr 3.62
Th  0.7500  0.3805  0.8786  7 Dy 3.49-3.55, 2 Th 3.52, 2 Er 3.59, 1 Pr 3.62



The following is a PBE calculation of an optimized crystal structure of Cu2SiNi, from Alexandria via LeMat-Bulk.

Calculated values
Calculated density   7.56 g/cm³
DOS at the Fermi energy   0.26 states/eV per atom
Uncorrected energy   -19.9 eV/cell
ΔE_f (raw)   -0.52 eV per formula unit

Cell lengths 2.8686, 2.8686, 5.7090 Å; angles 90.00, 90.00, 90.00 degrees
Closest atoms and distances in Å follow each position.
Fractional positions:
Cu  0.0000  0.0000  0.9902  4 Si 2.51, 4 Cu 2.52, 1 Ni 2.65
Cu  0.5000  0.5000  0.2532  4 Cu 2.52, 4 Ni 2.56, 1 Si 2.72
Ni  0.0000  0.0000  0.5265  4 Si 2.34, 4 Cu 2.56
Si  0.5000  0.5000  0.7300  4 Ni 2.34, 4 Cu 2.51



The following is a PBE calculation of an optimized crystal structure of CdCoBr2, from Alexandria via LeMat-Bulk.

Calculated values
Calculated density   4.33 g/cm³
DOS at the Fermi energy   0.92 states/eV per atom
Uncorrected energy   -22.8 eV/cell
ΔE_f (raw)   -0.06 eV per formula unit
Distance to the lowest polymorph of the same formula   111 meV/atom

Cell lengths 7.3581, 7.3581, 7.0035 Å; angles 58.31, 58.31, 90.00 degrees
Closest atoms and distances in Å follow each position.
Fractional positions:
Co  0.5000  0.5000  0.0000  4 Br 2.42
Co  0.2500  0.7500  0.5000  4 Br 2.42
Br  0.5174  0.1250  0.2500  2 Co 2.42
Br  0.2326  0.6250  0.2500  2 Co 2.42
Br  0.3750  0.4826  0.7500  2 Co 2.42
Br  0.8750  0.7674  0.7500  2 Co 2.42
Cd  0.0000  0.0000  0.0000  4 Br 3.42
Cd  0.7500  0.2500  0.5000  4 Br 3.42



The following is a PBE calculation of an optimized crystal structure of Mg2TlI, from Alexandria via LeMat-Bulk.

Calculated values
Calculated density   4.25 g/cm³
DOS at the Fermi energy   0.23 states/eV per atom
Uncorrected energy   -14.4 eV/cell
ΔE_f (raw)   -0.10 eV per formula unit
Distance to the lowest polymorph of the same formula   0 meV/atom

Cell lengths 7.4843, 7.4843, 7.4884 Å; angles 60.02, 60.02, 90.00 degrees
Closest atoms and distances in Å follow each position.
Fractional positions:
I  0.5000  0.5000  0.0000  4 Mg 3.05
I  0.2500  0.7500  0.5000  4 Mg 3.05
Tl  0.0000  0.0000  0.0000  4 Mg 2.88
Tl  0.7500  0.2500  0.5000  4 Mg 2.88
Mg  0.6431  0.1250  0.2500  2 Tl 2.88, 2 I 3.05
Mg  0.1069  0.6250  0.2500  2 Tl 2.88, 2 I 3.05
Mg  0.3750  0.3569  0.7500  2 Tl 2.88, 2 I 3.05
Mg  0.8750  0.8931  0.7500  2 Tl 2.88, 2 I 3.05



The following is a PBE calculation of an optimized crystal structure of SiOs2Cl, from Alexandria via LeMat-Bulk.

Calculated values
Calculated density   12.25 g/cm³
DOS at the Fermi energy   0.59 states/eV per atom
Uncorrected energy   -25.4 eV/cell
ΔE_f (raw)   4.30 eV per formula unit
Distance to the lowest polymorph of the same formula   750 meV/atom

Cell lengths 4.3990, 4.3990, 4.3990 Å; angles 60.00, 60.00, 60.00 degrees
Closest atoms and distances in Å follow each position.
Fractional positions:
Cl  0.5000  0.5000  0.5000  4 Os 2.69, 4 Si 2.69
Os  0.0000  0.0000  0.0000  4 Si 2.69, 4 Os 2.69
Os  0.7500  0.7500  0.7500  4 Cl 2.69, 4 Os 2.69
Si  0.2500  0.2500  0.2500  4 Cl 2.69, 4 Os 2.69



The following is a PBE calculation of an optimized crystal structure of YErGaNi, from Alexandria via LeMat-Bulk.

Calculated values
Calculated density   7.34 g/cm³
DOS at the Fermi energy   0.81 states/eV per atom
DFT formation energy   -0.5122 eV/atom
Uncorrected energy   -21.9 eV/cell
Distance to the lowest polymorph of the same formula   0 meV/atom

Cell lengths 3.7155, 4.3203, 5.7279 Å; angles 90.00, 108.93, 90.00 degrees
Closest atoms and distances in Å follow each position.
Fractional positions:
Y  0.1423  0.0000  0.2846  3 Ni 2.95-3.12, 4 Ga 2.96
Er  0.8577  0.5000  0.7153  3 Ga 2.95-3.12, 4 Ni 2.96
Ga  0.5695  0.5000  0.1390  2 Ni 2.63
Ni  0.4306  0.0000  0.8611  2 Ga 2.63



The following is a PBE calculation of an optimized crystal structure of AcNdCuPd, from Alexandria via LeMat-Bulk.

Calculated values
Calculated density   8.50 g/cm³
DOS at the Fermi energy   1.02 states/eV per atom
DFT formation energy   -0.4735 eV/atom
Uncorrected energy   -20.1 eV/cell
Distance to the lowest polymorph of the same formula   0 meV/atom

Cell lengths 4.0506, 4.6458, 5.9731 Å; angles 90.00, 109.82, 90.00 degrees
Closest atoms and distances in Å follow each position.
Fractional positions:
Ac  0.1409  0.0000  0.2818  3 Cu 3.16-3.19, 4 Pd 3.19
Nd  0.8654  0.5000  0.7308  3 Pd 3.05-3.33, 4 Cu 3.15
Cu  0.4250  0.0000  0.8500  2 Pd 2.83, 4 Nd 3.15, 2 Ac 3.16
Pd  0.5687  0.5000  0.1374  2 Cu 2.83, 2 Nd 3.05